1.
Re2SiP: optimized geometry, PBE.

a b c (Å): 2.9780 4.9491 3.8691
angles (deg): 90.00 90.00 90.00
With the nearest neighbours (Å) after each atom.
Fractional positions:
Re1 0.0000 0.0000 0.0000  4 Si 2.44
Re2 0.5000 0.5000 0.0000  4 P 2.44
P1 0.0000 0.5000 0.5000  4 Re 2.44
Si1 0.5000 0.0000 0.5000  4 Re 2.44

* raw total energy: -8.641 eV/atom
* energy relative to the elements, uncorrected: 1.17 eV/f.u.
* volume: 14.26 A^3/atom
* ρ: 12.6 g/cm3
* energy above the most stable polymorph in this dataset: 0.504 eV/atom

2.
Dy3Tm4Zr: optimized geometry, PBE.

a b c (Å): 6.1174 7.0908 11.0032
angles (deg): 90.00 90.00 90.00
With the nearest neighbours (Å) after each atom.
Fractional positions:
Tm1 0.9864 0.1283 0.2441  1 Zr 3.35, 6 Tm 3.38-3.56, 5 Dy 3.48-3.59
Tm2 0.1463 0.8688 0.5000  6 Tm 3.40-3.56, 4 Dy 3.44-3.63, 2 Zr 3.48-3.53
Tm3 0.9864 0.1283 0.7559  1 Zr 3.35, 6 Tm 3.38-3.56, 5 Dy 3.48-3.59
Tm4 0.1477 0.8751 0.0000  6 Tm 3.38-3.56, 4 Dy 3.43-3.57, 2 Zr 3.54-3.56
Tm5 0.4864 0.8717 0.2559  1 Zr 3.35, 6 Tm 3.38-3.56, 5 Dy 3.48-3.59
Tm6 0.4864 0.8717 0.7441  1 Zr 3.35, 6 Tm 3.38-3.56, 5 Dy 3.48-3.59
Tm7 0.6477 0.1249 0.5000  6 Tm 3.38-3.56, 4 Dy 3.43-3.57, 2 Zr 3.54-3.56
Tm8 0.6463 0.1312 0.0000  6 Tm 3.40-3.56, 4 Dy 3.44-3.63, 2 Zr 3.48-3.53
Zr1 0.6509 0.6264 0.5000  6 Tm 3.35-3.56, 6 Dy 3.41-3.54
Zr2 0.1509 0.3736 0.0000  6 Tm 3.35-3.56, 6 Dy 3.41-3.54
Dy1 0.9758 0.6220 0.7521  4 Dy 3.39-3.51, 2 Zr 3.41-3.42, 6 Tm 3.43-3.59
Dy2 0.1459 0.3814 0.5000  4 Dy 3.39-3.42, 6 Tm 3.46-3.63, 2 Zr 3.49-3.54
Dy3 0.6459 0.6186 0.0000  4 Dy 3.39-3.42, 6 Tm 3.46-3.63, 2 Zr 3.49-3.54
Dy4 0.9758 0.6220 0.2479  4 Dy 3.39-3.51, 2 Zr 3.41-3.42, 6 Tm 3.43-3.59
Dy5 0.4758 0.3780 0.7479  4 Dy 3.39-3.51, 2 Zr 3.41-3.42, 6 Tm 3.43-3.59
Dy6 0.4758 0.3780 0.2521  4 Dy 3.39-3.51, 2 Zr 3.41-3.42, 6 Tm 3.43-3.59

* raw total energy: -4.995 eV/atom
* volume: 29.83 A^3/atom
* E_form: 35 meV per atom
* ρ: 8.7 g/cm3
* energy above the most stable polymorph in this dataset: 0.000 eV/atom

3.
Sm3H12Rh5: optimized geometry, PBE.

a b c (Å): 10.1639 10.1639 10.1639
angles (deg): 109.47 109.47 109.47
With the nearest neighbours (Å) after each atom.
Fractional positions:
Rh1 0.0000 0.0000 0.5000  6 H 1.77
Rh2 0.2500 0.3750 0.6250  4 H 1.78
Rh3 0.3750 0.1250 0.7500  4 H 1.78
Rh4 0.1250 0.7500 0.3750  4 H 1.78
Rh5 0.3750 0.2500 0.1250  4 H 1.78
Rh6 0.6250 0.8750 0.2500  4 H 1.78
Rh7 0.7500 0.1250 0.8750  4 H 1.78
Rh8 0.8750 0.2500 0.6250  4 H 1.78
Rh9 0.5000 0.0000 0.5000  6 H 1.77
Rh10 0.0000 0.5000 0.0000  6 H 1.77
Rh11 0.5000 0.0000 0.0000  6 H 1.77
Rh12 0.7500 0.6250 0.3750  4 H 1.78
Rh13 0.2500 0.8750 0.1250  4 H 1.78
Rh14 0.1250 0.3750 0.2500  4 H 1.78
Rh15 0.0000 0.0000 0.0000  6 H 1.77
Rh16 0.8750 0.6250 0.7500  4 H 1.78
Rh17 0.5000 0.5000 0.0000  6 H 1.77
Rh18 0.0000 0.5000 0.5000  6 H 1.77
Rh19 0.5000 0.5000 0.5000  6 H 1.77
Rh20 0.6250 0.7500 0.8750  4 H 1.78
H1 0.8122 0.3252 0.9120  2 Rh 1.77-1.78
H2 0.9002 0.3122 0.4870  2 Rh 1.77-1.78
H3 0.6748 0.4870 0.5868  2 Rh 1.77-1.78
H4 0.3122 0.4120 0.8252  2 Rh 1.77-1.78
H5 0.3252 0.8122 0.4120  2 Rh 1.77-1.78
H6 0.0880 0.9132 0.4002  2 Rh 1.77-1.78
H7 0.9002 0.5880 0.9132  2 Rh 1.77-1.78
H8 0.4870 0.6748 0.0868  2 Rh 1.77-1.78
H9 0.6748 0.1878 0.5880  2 Rh 1.77-1.78
H10 0.8122 0.4870 0.4002  2 Rh 1.77-1.78
H11 0.0130 0.5998 0.6878  2 Rh 1.77-1.78
H12 0.5868 0.9870 0.6748  2 Rh 1.77-1.78
H13 0.9870 0.4002 0.3122  2 Rh 1.77-1.78
H14 0.9870 0.5868 0.1748  2 Rh 1.77-1.78
H15 0.0880 0.1748 0.1878  2 Rh 1.77-1.78
H16 0.5868 0.5998 0.4120  2 Rh 1.77-1.78
H17 0.8252 0.9132 0.0130  2 Rh 1.77-1.78
H18 0.4132 0.0130 0.3252  2 Rh 1.77-1.78
H19 0.5998 0.0130 0.1878  2 Rh 1.77-1.78
H20 0.4120 0.0998 0.5868  2 Rh 1.77-1.78
H21 0.0998 0.4120 0.0868  2 Rh 1.77-1.78
H22 0.0868 0.1748 0.4870  2 Rh 1.77-1.78
H23 0.4120 0.3122 0.3252  2 Rh 1.77-1.78
H24 0.1878 0.6748 0.0880  2 Rh 1.77-1.78
H25 0.4870 0.8122 0.9002  2 Rh 1.77-1.78
H26 0.5880 0.6878 0.6748  2 Rh 1.77-1.78
H27 0.9132 0.8252 0.5130  2 Rh 1.77-1.78
H28 0.9132 0.0880 0.9002  2 Rh 1.77-1.78
H29 0.9120 0.8252 0.8122  2 Rh 1.77-1.78
H30 0.5130 0.1878 0.0998  2 Rh 1.77-1.78
H31 0.0998 0.6878 0.5130  2 Rh 1.77-1.78
H32 0.1878 0.5130 0.5998  2 Rh 1.77-1.78
H33 0.4132 0.4002 0.5880  2 Rh 1.77-1.78
H34 0.0130 0.4132 0.8252  2 Rh 1.77-1.78
H35 0.5880 0.9002 0.4132  2 Rh 1.77-1.78
H36 0.3122 0.9002 0.9870  2 Rh 1.77-1.78
H37 0.4002 0.9870 0.8122  2 Rh 1.77-1.78
H38 0.9120 0.0868 0.5998  2 Rh 1.77-1.78
H39 0.5130 0.3252 0.9132  2 Rh 1.77-1.78
H40 0.3252 0.5130 0.4132  2 Rh 1.77-1.78
H41 0.1748 0.0880 0.6878  2 Rh 1.77-1.78
H42 0.6878 0.5880 0.1748  2 Rh 1.77-1.78
H43 0.5998 0.5868 0.9120  2 Rh 1.77-1.78
H44 0.0868 0.9120 0.0998  2 Rh 1.77-1.78
H45 0.4002 0.4132 0.0880  2 Rh 1.77-1.78
H46 0.6878 0.0998 0.0130  2 Rh 1.77-1.78
H47 0.1748 0.0868 0.9870  2 Rh 1.77-1.78
H48 0.8252 0.9120 0.3122  2 Rh 1.77-1.78
Sm1 0.2500 0.6250 0.8750  8 H 2.39-2.40
Sm2 0.8750 0.1250 0.2500  8 H 2.39-2.40
Sm3 0.1250 0.2500 0.8750  8 H 2.39-2.40
Sm4 0.6250 0.2500 0.3750  8 H 2.39-2.40
Sm5 0.1250 0.8750 0.7500  8 H 2.39-2.40
Sm6 0.3750 0.7500 0.6250  8 H 2.39-2.40
Sm7 0.6250 0.3750 0.7500  8 H 2.39-2.40
Sm8 0.8750 0.7500 0.1250  8 H 2.39-2.40
Sm9 0.7500 0.3750 0.1250  8 H 2.39-2.40
Sm10 0.3750 0.6250 0.2500  8 H 2.39-2.40
Sm11 0.7500 0.8750 0.6250  8 H 2.39-2.40
Sm12 0.2500 0.1250 0.3750  8 H 2.39-2.40

* raw total energy: -4.917 eV/atom
* volume: 10.10 A^3/atom
* ρ: 8.0 g/cm3

4.
VMoIr: optimized geometry, PBE.

a b c (Å): 3.8593 4.9172 5.3642
angles (deg): 90.00 90.00 90.00
With the nearest neighbours (Å) after each atom.
Fractional positions:
V1 0.5000 0.1909 0.7500  4 Ir 2.53, 2 Mo 2.55
V2 0.5000 0.8091 0.2500  4 Ir 2.53, 2 Mo 2.55
Ir1 0.0000 0.0000 0.0000  4 V 2.53, 2 Mo 2.67, 2 Ir 2.68
Ir2 0.0000 0.0000 0.5000  4 V 2.53, 2 Mo 2.67, 2 Ir 2.68
Mo1 0.0000 0.5307 0.7500  2 V 2.55, 2 Ir 2.67, 2 Mo 2.70
Mo2 0.0000 0.4693 0.2500  2 V 2.55, 2 Ir 2.67, 2 Mo 2.70

* raw total energy: -9.262 eV/atom
* volume: 16.97 A^3/atom
* E_form: 341 meV per atom
* ρ: 11.1 g/cm3
* energy above the most stable polymorph in this dataset: 0.546 eV/atom

5.
Pm6PrIn2: optimized geometry, PBE.

a b c (Å): 3.8786 6.8218 12.0074
angles (deg): 74.75 80.71 73.48
With the nearest neighbours (Å) after each atom.
Fractional positions:
Pr1 0.0000 0.0000 0.0000  4 In 3.31
Pm1 0.6876 0.4995 0.1252  2 In 3.34, 5 Pm 3.54-3.61
Pm2 0.3098 0.7967 0.5836  2 In 3.35, 8 Pm 3.51-3.71
Pm3 0.9885 0.6842 0.3388  2 In 3.29, 4 Pm 3.61-3.63
Pm4 0.3124 0.5005 0.8748  2 In 3.34, 5 Pm 3.54-3.61
Pm5 0.0115 0.3158 0.6612  2 In 3.29, 4 Pm 3.61-3.63
Pm6 0.6902 0.2033 0.4164  2 In 3.35, 8 Pm 3.51-3.71
In1 0.6447 0.9232 0.7874  6 Pm 3.29-3.35, 2 Pr 3.31
In2 0.3553 0.0768 0.2126  6 Pm 3.29-3.35, 2 Pr 3.31

* raw total energy: -4.501 eV/atom
* volume: 32.51 A^3/atom
* E_form: -195 meV per atom
* ρ: 7.0 g/cm3
* energy above the most stable polymorph in this dataset: 0.000 eV/atom

6.
TcMo2Cl: optimized geometry, PBE.

a b c (Å): 6.7787 6.7787 5.5591
angles (deg): 52.43 52.43 90.00
With the nearest neighbours (Å) after each atom.
Fractional positions:
Mo1 0.6059 0.1250 0.2500  2 Cl 2.41, 2 Tc 2.59
Mo2 0.8750 0.8559 0.7500  2 Cl 2.41, 2 Tc 2.59
Mo3 0.1441 0.6250 0.2500  2 Cl 2.41, 2 Tc 2.59
Mo4 0.3750 0.3941 0.7500  2 Cl 2.41, 2 Tc 2.59
Tc1 0.0000 0.0000 0.0000  4 Mo 2.59, 2 Cl 2.82
Tc2 0.7500 0.2500 0.5000  4 Mo 2.59, 2 Cl 2.82
Cl1 0.5000 0.5000 0.0000  4 Mo 2.41
Cl2 0.2500 0.7500 0.5000  4 Mo 2.41

* raw total energy: -7.507 eV/atom
* energy relative to the elements, uncorrected: 3.85 eV/f.u.
* volume: 16.17 A^3/atom
* ρ: 8.4 g/cm3
* energy above the most stable polymorph in this dataset: 0.720 eV/atom

7.
LaSm2Rh: optimized geometry, PBE.

a b c (Å): 3.5771 3.5771 9.0046
angles (deg): 90.00 90.00 90.00
With the nearest neighbours (Å) after each atom.
Fractional positions:
Rh1 0.5000 0.5000 0.0000  8 Sm 3.02
Sm1 0.0000 0.0000 0.8164  4 Rh 3.02, 1 Sm 3.31
Sm2 0.0000 0.0000 0.1836  4 Rh 3.02, 1 Sm 3.31
La1 0.5000 0.5000 0.5000  4 La 3.58, 8 Sm 3.81

* raw total energy: -5.764 eV/atom
* volume: 28.81 A^3/atom
* E_form: -335 meV per atom
* ρ: 7.8 g/cm3
* energy above the most stable polymorph in this dataset: 0.126 eV/atom

8.
CoPC: optimized geometry, PBE.

a b c (Å): 4.5884 2.7791 4.9759
angles (deg): 90.00 95.67 90.00
With the nearest neighbours (Å) after each atom.
Fractional positions:
Co1 0.1528 0.0000 0.4009  2 C 2.11, 1 P 2.17
Co2 0.1528 0.5000 0.9009  2 C 2.11, 1 P 2.17
C1 0.4971 0.0000 0.9840  3 P 1.83
C2 0.4971 0.5000 0.4840  3 P 1.83
P1 0.6788 0.5000 0.8277  3 C 1.83
P2 0.6788 0.0000 0.3277  3 C 1.83

* raw total energy: -6.777 eV/atom
* volume: 10.52 A^3/atom
* E_form: 469 meV per atom
* ρ: 5.4 g/cm3
* energy above the most stable polymorph in this dataset: 0.199 eV/atom

9.
KZr3Se6: optimized geometry, PBE.

a b c (Å): 3.8129 12.7516 12.2398
angles (deg): 104.73 90.00 90.00
With the nearest neighbours (Å) after each atom.
Fractional positions:
Se1 0.7500 0.9808 0.2953  3 Zr 2.69-2.70
Se2 0.7500 0.5474 0.2555  3 Zr 2.73-2.76
Se3 0.7500 0.1067 0.0951  3 Zr 2.73-2.77
Se4 0.2500 0.3708 0.4129  3 Zr 2.71-2.73
Se5 0.7500 0.6292 0.5871  3 Zr 2.71-2.73
Se6 0.7500 0.1985 0.5637  3 Zr 2.70
Se7 0.2500 0.7419 0.1095  3 Zr 2.74-2.76
Se8 0.2500 0.0192 0.7047  3 Zr 2.69-2.70
Se9 0.2500 0.4526 0.7445  3 Zr 2.73-2.76
Se10 0.7500 0.2581 0.8905  3 Zr 2.74-2.76
Se11 0.2500 0.8933 0.9049  3 Zr 2.73-2.77
Se12 0.2500 0.8015 0.4363  3 Zr 2.70
Zr1 0.7500 0.7658 0.2751  6 Se 2.69-2.74
Zr2 0.2500 0.5872 0.4238  6 Se 2.70-2.76
Zr3 0.2500 0.2342 0.7249  6 Se 2.69-2.74
Zr4 0.2500 0.9634 0.1350  6 Se 2.70-2.77
Zr5 0.7500 0.0366 0.8650  6 Se 2.70-2.77
Zr6 0.7500 0.4128 0.5762  6 Se 2.70-2.76
K1 0.2500 0.3305 0.1277  7 Se 3.37-3.40
K2 0.7500 0.6695 0.8723  7 Se 3.37-3.40

* raw total energy: -6.127 eV/atom
* energy relative to the elements, uncorrected: -13.62 eV/f.u.
* volume: 28.78 A^3/atom
* ρ: 4.5 g/cm3

10.
Pm2InSn6: optimized geometry, PBE.

a b c (Å): 4.4807 9.7033 9.7033
angles (deg): 40.58 76.79 76.79
With the nearest neighbours (Å) after each atom.
Fractional positions:
Sn1 0.6915 0.5901 0.0265  3 Sn 2.94-2.98
Sn2 0.2982 0.4110 0.9906  3 Sn 2.83-2.98
Sn3 0.4892 0.2870 0.7357  2 Sn 3.02-3.37, 2 In 3.18-3.20, 1 Pm 3.37
Sn4 0.4892 0.7357 0.2870  2 Sn 3.02-3.37, 2 In 3.18-3.20, 1 Pm 3.37
Sn5 0.6915 0.0265 0.5901  3 Sn 2.94-2.98
Sn6 0.2982 0.9906 0.4110  3 Sn 2.83-2.98
Pm1 0.1059 0.3948 0.3948  10 Sn 3.31-3.71, 2 In 3.45
Pm2 0.8714 0.6268 0.6268  10 Sn 3.25-3.53
In1 0.0648 0.9375 0.9375  8 Sn 3.18-3.52, 2 Pm 3.45

* raw total energy: -4.383 eV/atom
* volume: 29.58 A^3/atom
* E_form: -355 meV per atom
* ρ: 7.0 g/cm3

11.
K2TcIO6: optimized geometry, PBE.

a b c (Å): 5.5525 5.1641 7.2447
angles (deg): 61.71 67.26 90.16
With the nearest neighbours (Å) after each atom.
Fractional positions:
Tc1 0.0000 0.0000 0.0000  6 O 1.81-1.97
O1 0.1387 0.0111 0.7242  1 Tc 1.81
O2 0.1837 0.6861 0.1310  1 Tc 1.97, 1 I 2.12
O3 0.6861 0.6793 0.1337  1 Tc 1.97, 1 I 2.12
O4 0.3138 0.3207 0.8663  1 Tc 1.97, 1 I 2.12
O5 0.8163 0.3139 0.8690  1 Tc 1.97, 1 I 2.12
O6 0.8613 0.9889 0.2758  1 Tc 1.81
K1 0.2636 0.7378 0.4734  5 O 2.69-2.81
K2 0.7364 0.2622 0.5265  5 O 2.69-2.81
I1 0.5000 0.5000 0.0000  4 O 2.12

* raw total energy: -5.559 eV/atom
* energy relative to the elements, uncorrected: -11.73 eV/f.u.
* volume: 16.42 A^3/atom
* ρ: 4.0 g/cm3

12.
Li2Nd3Cd5: optimized geometry, PBE.

a b c (Å): 4.2067 10.7820 10.7820
angles (deg): 90.00 90.00 90.00
With the nearest neighbours (Å) after each atom.
Fractional positions:
Cd1 0.5000 0.0000 0.5000  4 Li 2.72
Cd2 0.5000 0.4396 0.2797  2 Li 2.82, 1 Cd 3.08
Cd3 0.5000 0.5604 0.7203  2 Li 2.82, 1 Cd 3.08
Cd4 0.5000 0.9396 0.2203  2 Li 2.82, 1 Cd 3.08
Cd5 0.5000 0.7797 0.9396  2 Li 2.82, 1 Cd 3.08
Cd6 0.5000 0.0604 0.7797  2 Li 2.82, 1 Cd 3.08
Cd7 0.5000 0.2203 0.0604  2 Li 2.82, 1 Cd 3.08
Cd8 0.5000 0.5000 0.0000  4 Li 2.72
Cd9 0.5000 0.2797 0.5604  2 Li 2.82, 1 Cd 3.08
Cd10 0.5000 0.7203 0.4396  2 Li 2.82, 1 Cd 3.08
Nd1 0.0000 0.8201 0.6799  3 Li 3.15-3.24, 10 Cd 3.46-3.53
Nd2 0.0000 0.1799 0.3201  3 Li 3.15-3.24, 10 Cd 3.46-3.53
Nd3 0.0000 0.0000 0.0000  8 Cd 3.24
Nd4 0.0000 0.5000 0.5000  8 Cd 3.24
Nd5 0.0000 0.6799 0.1799  3 Li 3.15-3.24, 10 Cd 3.46-3.53
Nd6 0.0000 0.3201 0.8201  3 Li 3.15-3.24, 10 Cd 3.46-3.53
Li1 0.0000 0.3867 0.1133  6 Cd 2.72-2.82
Li2 0.0000 0.8867 0.3867  6 Cd 2.72-2.82
Li3 0.0000 0.1133 0.6133  6 Cd 2.72-2.82
Li4 0.0000 0.6133 0.8867  6 Cd 2.72-2.82

* raw total energy: -2.551 eV/atom
* volume: 24.45 A^3/atom
* E_form: -281 meV per atom
* ρ: 6.9 g/cm3